Record 1
CsPaBe2Br8 GGA-PBE relaxed; E = -3.794 eV/atom; E_form (uncorrected) = -1.195 eV per atom
1.0
6.752 0.000 0.000
3.376 5.847 0.000
3.376 1.949 10.759
Be Br Cs Pa
2 8 1 1
Cartesian
10.128 5.847 8.210
3.376 1.949 2.550
8.028 5.800 8.987
10.128 5.847 6.097
5.743 5.954 1.772
5.476 1.996 1.772
3.376 1.949 4.662
9.037 3.744 1.772
7.761 1.842 8.987
4.467 4.053 8.987
6.752 3.898 5.380
0.000 0.000 0.000

***

Record 2
Tb2TiGa3Ni4 GGA-PBE relaxed; E = -5.475 eV/atom; calculated formation energy = -5.4 eV per formula unit
1.0
-1.167 -2.940 -2.443
2.631 -2.471 1.717
-7.211 -2.877 6.908
Ga Ti Ni Tb
3 1 4 2
Cartesian
-6.880 -3.982 4.810
0.401 -1.600 1.735
-3.606 -1.439 3.454
-2.874 -4.144 3.091
0.732 -2.706 -0.363
-1.262 -2.264 3.328
-5.217 -3.319 3.218
0.000 0.000 0.000
-2.327 -2.166 0.448
-4.153 -3.417 6.097

***

Record 3
LuPuSiRh GGA-PBE relaxed; E = -8.388 eV/atom; E_form (uncorrected) = -0.482 eV per atom
1.0
4.863 0.000 0.000
2.431 4.211 0.000
2.431 1.404 3.971
Lu Rh Si Pu
1 1 1 1
Cartesian
0.000 0.000 0.000
7.294 4.211 2.978
2.431 1.404 0.993
4.863 2.808 1.985

***

Record 4
NdThPd2 GGA-PBE relaxed; E = -6.339 eV/atom; calculated formation energy = -2.8 eV per formula unit; energy above the lowest structure with this stoichiometry = 93 meV per atom
1.0
4.182 0.000 0.000
2.091 3.622 0.000
2.091 1.207 6.972
Pd Th Nd
2 1 1
Cartesian
2.091 1.207 1.669
6.273 3.622 5.303
0.000 0.000 0.000
4.182 2.414 3.486

***

Record 5
CdIn2Re GGA-PBE relaxed; E = -4.225 eV/atom; calculated formation energy = 1.9 eV per formula unit
1.0
-5.613 -3.967 -6.889
-6.609 -5.622 -4.405
-7.855 -2.799 -5.016
In Cd Re
2 1 1
Cartesian
-9.900 -6.108 -8.042
-0.139 -0.086 -0.113
-5.019 -3.097 -4.077
-15.058 -9.291 -12.232

***

Record 6
Pm3MgCd2 GGA-PBE relaxed; E = -3.199 eV/atom; calculated formation energy = -1.5 eV per formula unit; energy above the lowest structure with this stoichiometry = 0 meV per atom
1.0
3.845 0.000 0.000
0.000 5.132 -1.699
0.000 0.001 8.603
Pm Mg Cd
3 1 2
Cartesian
1.922 4.268 4.291
1.922 2.566 -0.849
1.922 0.865 2.614
0.000 0.000 0.000
0.000 1.742 5.262
0.000 3.391 1.642

***

no.,V (Å³/f.u.),D(E_F) (states/eV/f.u.),M_tot (μB/cell)
1,424.79,11.21,2.000
2,166.03,8.83,0.000
3,81.31,7.42,4.800
4,105.59,1.91,0.000
5,81.95,4.86,0.397
6,169.76,7.23,0.000